1.
Entry from Alexandria via LeMat-Bulk: crystalline CsSi2Rh at its relaxed geometry (PBE-GGA).

Output
- magnetic moment (μB per atom) = 0.000
- energy relative to the elements, uncorrected (eV/atom) = -0.1820
- E (eV per cell) = -39.6
- offset from the most stable computed form (meV per atom) = 0.0

Unit cell a=6.4844 b=6.4844 c=7.6295 alpha=64.85 beta=64.85 gamma=90.00
Atoms (fractional coordinates):
1 Cs 0.0000 0.0000 0.0000
2 Cs 0.7500 0.2500 0.5000
3 Si 0.3750 0.1250 0.2500
4 Si 0.3750 0.6250 0.2500
5 Si 0.3750 0.6250 0.7500
6 Si 0.8750 0.6250 0.7500
7 Rh 0.5000 0.5000 0.0000
8 Rh 0.2500 0.7500 0.5000


2.
Entry from Alexandria via LeMat-Bulk: crystalline NbVIr2Rh at its relaxed geometry (PBE-GGA).

Output
- magnetic moment (μB per atom) = 0.000
- calculated formation energy (eV/atom) = 1.0494
- E (eV per cell) = -39.0

Unit cell a=4.4534 b=4.5540 c=4.4534 alpha=90.00 beta=90.00 gamma=90.00
Atoms (fractional coordinates):
1 Nb 0.0000 0.5000 0.0000
2 Ir 0.0000 0.0000 0.5000
3 Ir 0.5000 0.0000 0.0000
4 Rh 0.5000 0.5000 0.5000
5 V 0.0000 0.0000 0.0000


3.
Entry from Alexandria via LeMat-Bulk: crystalline Ag3Pd4 at its relaxed geometry (PBE-GGA).

Output
- magnetic moment (μB per atom) = 0.000
- calculated formation energy (eV/atom) = -0.0228
- E (eV per cell) = -29.5

Unit cell a=2.8247 b=4.0702 c=10.2676 alpha=101.43 beta=97.91 gamma=90.00
Atoms (fractional coordinates):
1 Ag 0.8563 0.3563 0.7127
2 Ag 0.0000 0.5000 0.0000
3 Ag 0.1437 0.6437 0.2873
4 Pd 0.7152 0.2152 0.4304
5 Pd 0.2848 0.7848 0.5696
6 Pd 0.4284 0.9284 0.8567
7 Pd 0.5716 0.0716 0.1433


4.
Entry from Alexandria via LeMat-Bulk: crystalline MgInOsN2 at its relaxed geometry (PBE-GGA).

Output
- magnetic moment (μB per atom) = 0.000
- energy relative to the elements, uncorrected (eV/atom) = 2.0184
- E (eV per cell) = -22.1

Unit cell a=3.9040 b=5.1715 c=3.9040 alpha=90.00 beta=90.00 gamma=90.00
Atoms (fractional coordinates):
1 Mg 0.0000 0.0000 0.0000
2 N 0.0000 0.0000 0.5000
3 N 0.5000 0.0000 0.0000
4 Os 0.5000 0.5000 0.5000
5 In 0.0000 0.5000 0.0000


5.
Entry from Alexandria via LeMat-Bulk: crystalline Pm6PdRh2 at its relaxed geometry (PBE-GGA).

Output
- magnetic moment (μB per atom) = 0.000
- calculated formation energy (eV/atom) = -0.5213
- E (eV per cell) = -106.2

Unit cell a=8.5686 b=8.5686 c=8.5686 alpha=106.26 beta=110.98 gamma=111.21
Atoms (fractional coordinates):
1 Pm 0.5487 0.7247 0.8240
2 Pm 0.4513 0.2753 0.1760
3 Pm 0.0992 0.2753 0.8240
4 Pm 0.9008 0.7247 0.1760
5 Pm 0.8126 0.7554 0.5680
6 Pm 0.1874 0.2446 0.4320
7 Pm 0.1874 0.7554 0.9427
8 Pm 0.8126 0.2446 0.0573
9 Pm 0.6898 0.3606 0.6708
10 Pm 0.3102 0.6394 0.3292
11 Pm 0.3102 0.9810 0.6708
12 Pm 0.6898 0.0190 0.3292
13 Pd 0.0000 0.5000 0.5000
14 Pd 0.0000 0.0000 0.0000
15 Rh 0.5000 0.3704 0.8704
16 Rh 0.5000 0.6296 0.1296
17 Rh 0.6708 0.0000 0.6708
18 Rh 0.3292 0.0000 0.3292


6.
Entry from Alexandria via LeMat-Bulk: crystalline Zn2IrRu at its relaxed geometry (PBE-GGA).

Output
- magnetic moment (μB per atom) = 0.269
- calculated formation energy (eV/atom) = 0.0166
- E (eV per cell) = -20.6
- offset from the most stable computed form (meV per atom) = 81.0

Unit cell a=4.2908 b=4.2908 c=4.2908 alpha=60.00 beta=60.00 gamma=60.00
Atoms (fractional coordinates):
1 Ru 0.0000 0.0000 0.0000
2 Zn 0.2500 0.2500 0.2500
3 Zn 0.7500 0.7500 0.7500
4 Ir 0.5000 0.5000 0.5000